Here is an optimized crystal structure of La5PmIr4 from Alexandria via LeMat-Bulk. Energies are from GGA-PBE.

Structure (CIF):
```
data_La5PmIr4
_space_group_name_H-M_alt 'C 1 2/m 1'
_space_group_IT_number 12
_space_group_name_Hall '-C 2y'
_cell_length_a 18.9014
_cell_length_b 4.3464
_cell_length_c 7.7758
_cell_angle_alpha 90.00
_cell_angle_beta 114.17
_cell_angle_gamma 90.00
loop_
_atom_site_label
_atom_site_type_symbol
_atom_site_fract_x
_atom_site_fract_y
_atom_site_fract_z
_atom_site_occupancy
La1 La 0.0000 0.0000 0.0000 1
La2 La 0.1641 0.5000 0.4243 1
La3 La 0.1642 0.5000 0.9032 1
Pm1 Pm 0.0000 0.0000 0.5000 1
Ir1 Ir 0.9999 0.5000 0.2428 1
Ir2 Ir 0.1959 0.0000 0.6956 1
```

Relative energy among the computed polymorphs ... 0.0 meV per atom
E_form ... -0.64 eV per atom
Spin magnetization ... 0.00 Bohr magnetons per cell